--- 1 ---
TlNiIN2: optimized geometry, PBE-GGA.

## Properties
Theoretical density: 5.58 Mg/m³

a b c (Å): 4.1767 4.1767 7.1334
angles (deg): 90.00 90.00 90.00
Closest atoms and distances in Å follow each position.
Element x y z (fractional)
Ni: 0.5000 0.5000 0.5000  4 I 2.95
I: 0.0000 0.0000 0.5000  4 Ni 2.95
Tl: 0.0000 0.0000 0.0000  4 N 2.09
N: 0.5000 0.0000 0.0000  2 Tl 2.09
N: 0.0000 0.5000 0.0000  2 Tl 2.09

--- 2 ---
TlNiIN2: optimized geometry, PBE-GGA.

## Properties
Theoretical density: 7.05 Mg/m³

a b c (Å): 4.2095 4.2095 5.5565
angles (deg): 90.00 90.00 90.00
Closest atoms and distances in Å follow each position.
Element x y z (fractional)
N: 0.0000 0.5000 0.0000  2 Ni 2.10
N: 0.5000 0.0000 0.0000  2 Ni 2.10
I: 0.0000 0.0000 0.5000  2 Ni 2.78, 4 Tl 2.98
Tl: 0.5000 0.5000 0.5000  4 I 2.98
Ni: 0.0000 0.0000 0.0000  4 N 2.10

2 is the most stable structure; the next one sits 624 meV/atom above it.

--- 1 ---
VNiIN2: optimized geometry, PBE-GGA.

## Properties
Theoretical density: 5.39 Mg/m³

a b c (Å): 3.7247 3.7247 5.8696
angles (deg): 90.00 90.00 90.00
Closest atoms and distances in Å follow each position.
Element x y z (fractional)
N: 0.5000 0.0000 0.0000  2 V 1.86
I: 0.0000 0.0000 0.5000  4 Ni 2.63, 2 V 2.93
Ni: 0.5000 0.5000 0.5000  4 I 2.63
V: 0.0000 0.0000 0.0000  4 N 1.86
N: 0.0000 0.5000 0.0000  2 V 1.86

--- 2 ---
VNiIN2: optimized geometry, PBE-GGA.

## Properties
Theoretical density: 5.78 Mg/m³

a b c (Å): 3.7150 3.7150 5.5078
angles (deg): 90.00 90.00 90.00
Closest atoms and distances in Å follow each position.
Element x y z (fractional)
V: 0.5000 0.5000 0.5000  4 I 2.63
Ni: 0.0000 0.0000 0.0000  4 N 1.86
N: 0.0000 0.5000 0.0000  2 Ni 1.86
N: 0.5000 0.0000 0.0000  2 Ni 1.86
I: 0.0000 0.0000 0.5000  4 V 2.63, 2 Ni 2.75

1 is the most stable structure; the next one sits 992 meV/atom above it.

--- 1 ---
ZrNiI2N: optimized geometry, PBE-GGA.

## Properties
Theoretical density: 6.41 Mg/m³

a b c (Å): 5.5676 5.5676 3.4908
angles (deg): 90.00 90.00 90.00
Closest atoms and distances in Å follow each position.
Element x y z (fractional)
N: 0.0000 0.0000 0.5000  2 Ni 1.75
Ni: 0.0000 0.0000 0.0000  2 N 1.75
I: 0.5000 0.0000 0.0000  2 Ni 2.78
I: 0.0000 0.5000 0.0000  2 Ni 2.78
Zr: 0.5000 0.5000 0.5000  8 I 3.29, 2 Zr 3.49

--- 2 ---
ZrNiI2N: optimized geometry, PBE-GGA.

## Properties
Theoretical density: 5.00 Mg/m³

a b c (Å): 5.9004 5.9004 3.9858
angles (deg): 90.00 90.00 90.00
Closest atoms and distances in Å follow each position.
Element x y z (fractional)
Ni: 0.5000 0.5000 0.5000  8 I 3.56, 2 Ni 3.99
I: 0.5000 0.0000 0.0000  2 Zr 2.95
Zr: 0.0000 0.0000 0.0000  2 N 1.99
I: 0.0000 0.5000 0.0000  2 Zr 2.95
N: 0.0000 0.0000 0.5000  2 Zr 1.99

2 is the most stable structure; the next one sits 160 meV/atom above it.

--- 1 ---
RbI2NO: optimized geometry, PBE-GGA.

## Properties
Theoretical density: 4.29 Mg/m³

a b c (Å): 4.7662 4.7662 6.2965
angles (deg): 90.00 90.00 90.00
Closest atoms and distances in Å follow each position.
Element x y z (fractional)
Rb: 0.5000 0.5000 0.5000  4 O 3.37
N: 0.0000 0.0000 0.0000  4 I 2.38
O: 0.0000 0.0000 0.5000  2 N 3.15, 4 Rb 3.37
I: 0.0000 0.5000 0.0000  2 N 2.38
I: 0.5000 0.0000 0.0000  2 N 2.38

--- 2 ---
RbI2NO: optimized geometry, PBE-GGA.

## Properties
Theoretical density: 2.06 Mg/m³

a b c (Å): 7.2021 7.2021 5.7292
angles (deg): 90.00 90.00 90.00
Closest atoms and distances in Å follow each position.
Element x y z (fractional)
I: 0.0000 0.5000 0.0000  2 Rb 3.60
O: 0.0000 0.0000 0.5000  2 Rb 2.86
I: 0.5000 0.0000 0.0000  2 Rb 3.60
N: 0.5000 0.5000 0.5000  8 I 4.60, 4 O 5.09
Rb: 0.0000 0.0000 0.0000  2 O 2.86

1 is the most stable structure; the next one sits 595 meV/atom above it.

--- 1 ---
RbI2NO: optimized geometry, PBE-GGA.

## Properties
Theoretical density: 4.32 Mg/m³

a b c (Å): 4.9209 4.9209 5.8594
angles (deg): 90.00 90.00 90.00
Closest atoms and distances in Å follow each position.
Element x y z (fractional)
O: 0.0000 0.0000 0.0000  4 I 2.46
I: 0.0000 0.5000 0.0000  2 O 2.46
Rb: 0.5000 0.5000 0.5000  4 N 3.48, 8 I 3.83
I: 0.5000 0.0000 0.0000  2 O 2.46
N: 0.0000 0.0000 0.5000  2 O 2.93

--- 2 ---
RbI2NO: optimized geometry, PBE-GGA.

## Properties
Theoretical density: 2.00 Mg/m³

a b c (Å): 7.0304 7.0304 6.2112
angles (deg): 90.00 90.00 90.00
Closest atoms and distances in Å follow each position.
Element x y z (fractional)
O: 0.5000 0.5000 0.5000  8 I 4.69, 4 N 4.97
I: 0.5000 0.0000 0.0000  2 Rb 3.52
N: 0.0000 0.0000 0.5000  2 Rb 3.11
Rb: 0.0000 0.0000 0.0000  2 N 3.11
I: 0.0000 0.5000 0.0000  2 Rb 3.52

1 is the most stable structure; the next one sits 690 meV/atom above it.

--- 1 ---
Sb2INO: optimized geometry, PBE-GGA.

## Properties
Theoretical density: 5.35 Mg/m³

a b c (Å): 4.5604 4.5604 5.9729
angles (deg): 90.00 90.00 90.00
Closest atoms and distances in Å follow each position.
Element x y z (fractional)
O: 0.0000 0.0000 0.0000  4 Sb 2.28
I: 0.0000 0.0000 0.5000  2 O 2.99, 4 N 3.22
Sb: 0.5000 0.0000 0.0000  2 O 2.28
N: 0.5000 0.5000 0.5000  4 I 3.22
Sb: 0.0000 0.5000 0.0000  2 O 2.28

--- 2 ---
Sb2INO: optimized geometry, PBE-GGA.

## Properties
Theoretical density: 6.26 Mg/m³

a b c (Å): 4.7727 4.7727 4.6599
angles (deg): 90.00 90.00 90.00
Closest atoms and distances in Å follow each position.
Element x y z (fractional)
Sb: 0.0000 0.5000 0.0000  2 N 2.39
N: 0.0000 0.0000 0.0000  2 I 2.33, 4 Sb 2.39
Sb: 0.5000 0.0000 0.0000  2 N 2.39
O: 0.5000 0.5000 0.5000  8 Sb 3.34, 4 I 3.37
I: 0.0000 0.0000 0.5000  2 N 2.33

2 is the most stable structure; the next one sits 57 meV/atom above it.